# 1
4
Lattice="-1.855 0.647 -4.458 -0.391 -2.870 -0.254 -4.578 0.175 1.931" Properties=species:S:1:pos:R:3 comment="CdAg2Rh, optimized geometry, DFT GGA-PBE" volume_a3_per_fu=70.3 formation_enthalpy_0k_ev_per_atom=0.108 crystal_system=monoclinic total_magnetization_mub_per_cell=0.2 pbc="T T T"
Rh -3.217 0.411 -1.264
Ag -1.469 -2.113 0.305
Cd -1.123 -1.111 -2.356
Ag -3.500 -0.581 1.372


# 2
18
Lattice="3.875 0.000 0.000 -1.938 8.095 0.000 0.000 0.000 11.680" Properties=species:S:1:pos:R:3 comment="LiTh2ScS5, optimized geometry, DFT GGA-PBE" volume_a3_per_fu=183.2 e_form_raw_mev_per_atom=-1800 crystal_system=orthorhombic total_magnetization_mub_per_cell=0.0 pbc="T T T"
Li 0.000 7.398 5.434
S 0.000 5.058 4.153
Th 1.938 6.343 2.126
Li 1.938 0.696 11.274
Sc 1.938 4.879 5.943
S 0.000 0.799 0.791
Th 1.938 5.943 9.394
Sc 0.000 3.215 0.103
Th 0.000 1.751 7.966
S 1.938 7.296 6.631
S 0.000 4.638 7.709
S 0.000 8.018 9.115
Th 0.000 2.152 3.554
S 1.938 2.270 5.840
S 1.938 0.077 3.275
S 1.938 3.036 9.993
S 0.000 5.825 11.680
S 1.938 3.457 1.869


# 3
7
Lattice="3.424 0.000 0.296 1.699 2.973 0.296 0.109 0.063 18.670" Properties=species:S:1:pos:R:3 comment="Tl2In4Ga, optimized geometry, DFT GGA-PBE" volume_a3_per_fu=189.9 formation_enthalpy_0k_ev_per_atom=0.037 crystal_system=trigonal total_magnetization_mub_per_cell=0.0 pbc="T T T"
Tl 2.255 1.309 13.797
In 1.509 0.876 2.490
In 0.792 0.460 10.773
Ga 0.000 0.000 0.000
In 3.723 2.160 16.773
Tl 2.977 1.727 5.466
In 4.440 2.576 8.490


# 4
40
Lattice="-4.359 -7.726 2.370 0.922 -3.151 -8.575 8.028 -3.832 2.271" Properties=species:S:1:pos:R:3 comment="Eu3Ge13Os4, optimized geometry, DFT GGA-PBE" volume_a3_per_fu=387.0 formation_enthalpy_0k_ev_per_atom=-0.253 crystal_system=cubic total_magnetization_mub_per_cell=40.3 pbc="T T T"
Ge 6.476 -5.408 -5.718
Ge 2.474 -1.575 -0.585
Ge -0.678 -7.361 -2.284
Ge 4.002 -9.595 -0.960
Ge 0.590 -5.114 -2.973
Ge 3.432 -4.644 -1.410
Ge -0.365 -2.042 -2.154
Os -1.031 -7.540 0.202
Ge 0.000 0.000 0.000
Eu 6.482 -4.450 -2.584
Os 3.444 -11.032 -2.950
Ge 3.195 -6.993 0.863
Os 5.623 -7.169 -4.135
Ge 5.822 -3.174 0.362
Ge -3.071 -8.834 -4.050
Ge -1.920 -6.031 2.010
Ge 1.159 -10.064 -2.523
Ge -3.456 -7.520 -0.474
Eu 2.924 -3.848 1.728
Os 5.162 -5.593 0.152
Ge 2.296 -7.354 -1.967
Ge 3.732 -8.830 -4.135
Eu -1.488 -6.226 -5.246
Ge 5.590 -5.527 2.632
Eu 0.745 -7.710 2.913
Ge 3.772 -8.749 3.620
Ge 3.128 -3.809 -6.665
Ge 0.891 -9.148 -0.029
Ge 3.700 -5.561 -3.904
Eu 2.468 -2.533 -3.719
Ge 1.397 -7.715 -4.796
Os 2.983 -9.456 1.337
Ge 0.859 -5.879 0.202
Ge -0.103 -2.809 1.021
Os 1.148 -3.677 -0.983
Ge 5.270 -7.348 -1.649
Os 1.609 -5.253 -5.271
Os -0.570 -9.115 -4.085
Eu -1.949 -4.650 -0.959
Ge 0.019 -3.356 -5.731